No. 1
The following is a PBE calculation of a relaxed structure of Gd2ScSi, from the Alexandria database.

## Properties
* E_form (uncorrected): -0.2848 eV/atom

abc: 4.5767 4.5767 4.5052
angles: 90.00 90.00 90.00
Last column: nearest neighbours and their distance in Å.
Space group P4/mmm (No. 123)
Inequivalent atoms, fractional coordinates:
Gd  0.0000  0.5000  0.0000 [2 per cell]  4 Sc 3.21, 4 Si 3.21, 4 Gd 3.24
Sc  0.0000  0.0000  0.5000 [1 per cell]  8 Gd 3.21, 4 Si 3.24
Si  0.5000  0.5000  0.5000 [1 per cell]  8 Gd 3.21, 4 Sc 3.24



No. 2
The following is a PBE calculation of a relaxed structure of Dy2TmRh4, from the Alexandria database.

## Properties
* DFT formation energy: -3.918 eV/f.u.

abc: 4.8261 4.8261 12.2487
angles: 90.00 90.00 90.00
Last column: nearest neighbours and their distance in Å.
Space group I4/mmm (No. 139)
Inequivalent atoms, fractional coordinates:
Dy  0.0000  0.0000  0.2232 [4 per cell]  4 Rh 2.72
Tm  0.0000  0.0000  0.5000 [2 per cell]  8 Rh 2.83
Rh  0.0000  0.5000  0.1201 [8 per cell]  2 Dy 2.72, 2 Tm 2.83, 1 Rh 2.94



No. 3
The following is a PBE calculation of a relaxed structure of Sr2YPb, from the Alexandria database.

## Properties
* DFT formation energy: -0.292 eV/f.u.

abc: 7.1996 10.7103 3.8793
angles: 90.00 90.00 90.00
Last column: nearest neighbours and their distance in Å.
Space group Cmmm (No. 65)
Inequivalent atoms, fractional coordinates:
Sr  0.2500  0.2500  0.0000 [4 per cell]  4 Sr 3.60-3.88, 4 Pb 3.76, 4 Y 3.76
Y  0.0000  0.0000  0.5000 [2 per cell]  2 Pb 3.60, 8 Sr 3.76, 2 Y 3.88
Pb  0.0000  0.5000  0.5000 [2 per cell]  2 Y 3.60, 8 Sr 3.76, 2 Pb 3.88



No. 4
The following is a PBE calculation of a relaxed structure of ZrFeCl3, from the Alexandria database.

## Properties
* E_form (uncorrected): 0.0595 eV/atom
* excess energy over the best structure of this formula in the dataset: 353 meV per atom

abc: 4.5645 4.5645 4.5645
angles: 90.00 90.00 90.00
Last column: nearest neighbours and their distance in Å.
Space group Pm-3m (No. 221)
Inequivalent atoms, fractional coordinates:
Zr  0.0000  0.0000  0.0000 [1 per cell]  12 Cl 3.23
Fe  0.5000  0.5000  0.5000 [1 per cell]  6 Cl 2.28
Cl  0.0000  0.5000  0.5000 [3 per cell]  2 Fe 2.28



The records above give, respectively, M_tot values of 14.8; 0.0; 0.0; 2.4 μB/f.u..